1.
A relaxed structure of YSi2Au3, computed with PBE.

As for the volume: 458.9 Å³/cell. For the density, the calculation gives 10653 kg/m3.

It has space group C2/m (No. 12), with a = 15.839 Å, b = 4.312 Å, c = 7.463 Å, α = 90.00°, β = 115.80° and γ = 90.00°. The asymmetric unit holds Y at (0.147, 0.000, 0.074), Si at (0.010, 0.500, 0.163), Si at (0.192, 0.000, 0.697), Au at (0.043, 0.000, 0.360), Au at (0.130, 0.500, 0.757) and Au at (0.182, 0.500, 0.405).

---

2.
A relaxed structure of YSiAu, computed with PBE.

As for the volume: 239.3 Å³/cell. For the density, the calculation gives 8715 kg/m3.

It has space group C2/m (No. 12), with a = 10.454 Å, b = 4.265 Å, c = 7.102 Å, α = 90.00°, β = 130.92° and γ = 90.00°. The asymmetric unit holds Y at (0.056, 0.000, 0.302), Si at (0.148, 0.500, 0.681) and Au at (0.176, 0.500, 0.107).

---

Summary of E_form (uncorrected) in meV per atom
-472.2 -799.9
(order as listed above)
Summary of size of the total moment in Bohr magnetons per cell
0.000 0.000
(order as listed above)